[1]
This record from Alexandria describes a relaxed CeY2Tm4 crystal. The functional is PBE.

POSCAR file:
```
CeY2Tm4
1.0
6.1563 0.0000 0.0000
0.0000 3.5557 0.0000
-2.0573 0.0000 19.7804
Ce Y Tm
2 4 8
direct
0.0000 0.0000 0.0000
0.5000 0.5000 0.0000
0.0944 0.0000 0.2868
0.1898 0.0000 0.5732
0.5944 0.5000 0.2868
0.6898 0.5000 0.5732
0.2857 0.0000 0.8564
0.3083 0.5000 0.4306
0.3810 0.0000 0.1436
0.4048 0.5000 0.7168
0.7857 0.5000 0.8564
0.8083 0.0000 0.4306
0.8810 0.5000 0.1436
0.9048 0.0000 0.7168
```

Summary:
The calculation puts the energy above the most stable polymorph in this dataset at 0 meV/atom.



[2]
This record from Alexandria describes a relaxed CeY6Tm crystal. The functional is PBE.

POSCAR file:
```
CeY6Tm
1.0
6.5160 0.0000 0.0000
-0.0401 6.8264 0.0000
-1.3521 -3.3859 5.8433
Ce Y Tm
1 6 1
direct
0.0000 0.0000 0.0000
0.2327 0.9045 0.4809
0.2502 0.4449 0.0004
0.2669 0.4278 0.5214
0.7331 0.5722 0.4786
0.7498 0.5551 0.9996
0.7673 0.0955 0.5191
0.5000 0.0000 0.0000
```



[3]
This record from Alexandria describes a relaxed CeY9Tm4 crystal. The functional is PBE.

POSCAR file:
```
CeY9Tm4
1.0
9.6805 0.0000 0.0000
-4.8403 8.3836 0.0000
0.0000 0.0000 11.1905
Ce Y Tm
2 18 8
direct
0.3333 0.6667 0.2500
0.6667 0.3333 0.7500
0.0799 0.5400 0.7500
0.2091 0.4183 0.0309
0.2091 0.4183 0.4691
0.2091 0.7909 0.0309
0.2091 0.7909 0.4691
0.4183 0.2091 0.5309
0.4183 0.2091 0.9691
0.4600 0.5400 0.7500
0.4600 0.9201 0.7500
0.5400 0.0799 0.2500
0.5400 0.4600 0.2500
0.5817 0.7909 0.0309
0.5817 0.7909 0.4691
0.7909 0.2091 0.5309
0.7909 0.2091 0.9691
0.7909 0.5817 0.5309
0.7909 0.5817 0.9691
0.9201 0.4600 0.2500
0.0000 0.0000 0.0000
0.0000 0.0000 0.5000
0.1107 0.2214 0.7500
0.1107 0.8893 0.7500
0.2214 0.1107 0.2500
0.7786 0.8893 0.7500
0.8893 0.1107 0.2500
0.8893 0.7786 0.2500
```



| no. | formation energy (meV per atom) | theoretical density (g/cm³) |
| --- | --- | --- |
| 1 | 31 | 7.6 |
| 2 | 225 | 5.4 |
| 3 | 177 | 5.9 |